Record 1
Y3Er5Tm3 | Alexandria via LeMat-Bulk | GGA-PBE | optimized geometry; calculated formation energy = 0.364 eV per atom; volume = 32.58 Å³ per atom; raw total energy = -4.693 eV per atom
1.0
-1.417 -0.153 3.098
7.585 -7.359 3.107
1.876 10.765 1.390
Tm Er Y
3 5 3
Cartesian
4.515 -4.381 1.849
1.117 6.408 0.828
3.829 1.379 1.820
0.869 8.976 2.718
0.796 0.465 2.264
4.973 -1.394 4.084
5.670 -6.265 4.162
3.070 4.647 3.511
5.524 2.167 4.511
-0.069 3.597 2.023
1.880 -2.588 2.609

=====

Record 2
Y12ErTm6 | Alexandria via LeMat-Bulk | GGA-PBE | optimized geometry; calculated formation energy = 0.147 eV per atom; volume = 32.81 Å³ per atom; raw total energy = -5.588 eV per atom; ΔE to the lowest computed polymorph = 0 meV/atom
1.0
-6.685 5.252 -1.533
-4.169 -5.931 4.698
3.553 4.428 6.511
Y Tm Er
12 6 1
Cartesian
-2.551 4.756 3.733
-5.825 3.767 3.282
-4.831 -2.984 3.057
-2.471 6.733 6.619
1.518 1.700 6.033
-1.476 -0.018 6.394
-3.989 5.034 0.586
-1.454 3.416 6.717
-4.750 -1.007 5.943
-5.848 0.333 2.959
-3.313 -1.285 9.090
-8.819 2.049 3.643
-0.069 1.714 3.101
-4.485 1.816 8.733
-2.140 -1.067 2.616
-7.233 2.035 6.575
-2.816 1.933 0.943
-5.162 4.816 7.061
0.000 0.000 0.000

=====

Record 3
Y12Er3Tm | Alexandria via LeMat-Bulk | GGA-PBE | optimized geometry; calculated formation energy = 0.026 eV per atom; volume = 31.76 Å³ per atom; raw total energy = -5.957 eV per atom
1.0
-3.871 1.981 2.520
-2.942 -3.764 -1.561
5.091 -10.715 16.246
Y Tm Er
12 1 3
Cartesian
-0.026 -3.028 7.353
1.246 -5.706 11.413
-1.300 -0.347 3.287
-2.135 -3.569 4.539
-0.861 -6.249 8.603
-0.836 -3.219 1.247
2.520 -8.388 15.479
-3.407 -0.892 0.480
1.711 -8.579 9.373
2.985 -11.260 13.439
0.438 -5.901 5.313
0.412 -8.929 12.666
0.000 0.000 0.000
3.818 -8.036 12.184
2.545 -5.358 8.123
1.273 -2.679 4.062

=====

Record 4
Y3ErTm5 | Alexandria via LeMat-Bulk | GGA-PBE | optimized geometry; calculated formation energy = 0.310 eV per atom; volume = 32.89 Å³ per atom; raw total energy = -4.836 eV per atom; ΔE to the lowest computed polymorph = 0 meV/atom
1.0
7.792 -1.384 5.329
8.137 4.257 2.587
-0.941 4.995 10.159
Er Y Tm
2 6 10
Cartesian
7.386 7.267 10.564
7.602 0.601 7.511
9.988 3.256 12.618
5.000 4.612 5.457
0.000 0.000 0.000
10.682 4.414 5.762
4.306 3.454 12.312
-0.471 2.497 5.079
4.870 2.453 8.387
5.024 0.890 5.340
10.118 5.415 9.687
4.691 5.643 9.323
9.964 6.978 12.734
7.222 4.575 11.873
10.297 2.226 8.751
5.471 2.094 2.269
9.517 5.774 15.806
7.767 3.294 6.202

=====

Record 5
Y3ErTm12 | Alexandria via LeMat-Bulk | GGA-PBE | optimized geometry; calculated formation energy = 0.028 eV per atom; volume = 30.43 Å³ per atom; raw total energy = -4.823 eV per atom
1.0
-3.417 3.589 -0.008
-3.413 -3.246 1.541
4.445 4.273 18.847
Y Er Tm
3 1 12
Cartesian
3.337 3.208 14.148
2.223 2.137 9.423
1.108 1.065 4.699
0.000 0.000 0.000
-1.156 -1.093 3.105
-1.192 2.308 10.190
2.188 2.121 17.283
-3.415 0.172 0.766
-1.158 2.324 2.331
-2.307 1.237 5.463
-0.043 3.395 7.056
1.072 4.467 11.784
2.186 5.538 16.508
-0.041 -0.022 7.830
1.074 1.050 12.558
-0.077 3.380 14.917

=====

Record 6
Y5Er3Tm2 | Alexandria via LeMat-Bulk | GGA-PBE | optimized geometry; calculated formation energy = 0.193 eV per atom; volume = 32.54 Å³ per atom; raw total energy = -5.302 eV per atom
1.0
8.373 1.572 -3.901
0.261 8.481 -3.973
-1.728 -1.915 10.750
Tm Y Er
4 10 6
Cartesian
2.920 5.534 3.416
3.987 2.605 -0.540
1.677 8.125 -2.183
5.229 0.014 5.059
2.383 4.826 -2.542
6.268 5.344 2.382
1.966 0.306 6.318
0.638 2.795 0.494
4.940 7.832 -3.442
-0.567 5.525 2.660
3.419 6.070 0.182
3.488 2.069 2.694
4.523 3.313 5.418
7.474 2.614 0.215
6.444 1.376 -2.496
5.754 4.664 -2.121
1.153 3.474 4.997
6.979 2.052 3.432
0.463 6.763 5.371
-0.072 6.086 -0.556